# 1
Compound: Pm6SmSi4
Source: the Alexandria database
Functional: PBE-GGA
Structure: relaxed

Unit cell a=9.240 b=9.240 c=4.067 alpha=90.00 beta=90.00 gamma=120.00
Fractional coordinates of all 11 atoms:
Pm 0.196 0.391 0.000
Pm 0.196 0.804 0.000
Pm 0.541 0.082 0.500
Pm 0.541 0.459 0.500
Pm 0.609 0.804 0.000
Pm 0.918 0.459 0.500
Sm 0.000 0.000 0.500
Si 0.328 0.164 0.000
Si 0.333 0.667 0.500
Si 0.836 0.164 0.000
Si 0.836 0.672 0.000

Computed properties:
Size of the total moment (μB/cell): 0.0
Raw formation energy (eV/f.u.): -4.99
Density of states at the Fermi level (states/eV/atom): 1.140
DFT total energy (eV/atom): -5.4456

***

# 2
Compound: PmSm2Si2
Source: the Alexandria database
Functional: PBE-GGA
Structure: relaxed

Unit cell a=7.705 b=7.705 c=4.284 alpha=90.00 beta=90.00 gamma=90.00
Fractional coordinates of all 10 atoms:
Pm 0.000 0.000 0.000
Pm 0.500 0.500 0.000
Sm 0.176 0.324 0.500
Sm 0.324 0.824 0.500
Sm 0.676 0.176 0.500
Sm 0.824 0.676 0.500
Si 0.112 0.612 0.000
Si 0.388 0.112 0.000
Si 0.612 0.888 0.000
Si 0.888 0.388 0.000

Computed properties:
Size of the total moment (μB/cell): 0.0
Raw formation energy (eV/f.u.): -3.24
Density of states at the Fermi level (states/eV/atom): 1.075
Excess energy over the best structure of this formula in the dataset (eV/f.u.): 0.00
DFT total energy (eV/atom): -5.6559

***

# 3
Compound: Pm3SmSi2
Source: the Alexandria database
Functional: PBE-GGA
Structure: relaxed

Unit cell a=8.981 b=8.981 c=9.384 alpha=114.51 beta=114.51 gamma=28.51
Fractional coordinates of all 12 atoms:
Pm 0.045 0.045 0.198
Pm 0.310 0.310 0.614
Pm 0.346 0.346 0.026
Pm 0.654 0.654 0.974
Pm 0.690 0.690 0.386
Pm 0.955 0.955 0.802
Sm 0.115 0.115 0.630
Sm 0.885 0.885 0.370
Si 0.238 0.238 0.217
Si 0.493 0.493 0.625
Si 0.507 0.507 0.375
Si 0.762 0.762 0.783

Computed properties:
Size of the total moment (μB/cell): 0.0
Raw formation energy (eV/f.u.): -2.89
Density of states at the Fermi level (states/eV/atom): 0.983
DFT total energy (eV/atom): -5.4511

***

# 4
Compound: PmSm2Si4
Source: the Alexandria database
Functional: PBE-GGA
Structure: relaxed

Unit cell a=9.371 b=9.371 c=9.371 alpha=155.82 beta=153.03 gamma=36.53
Fractional coordinates of all 7 atoms:
Pm 0.000 0.000 0.000
Sm 0.182 0.682 0.500
Sm 0.818 0.318 0.500
Si 0.353 0.853 0.500
Si 0.434 0.434 0.000
Si 0.566 0.566 0.000
Si 0.647 0.147 0.500

Computed properties:
Size of the total moment (μB/cell): 0.0
Raw formation energy (eV/f.u.): -5.23
Density of states at the Fermi level (states/eV/atom): 0.588
DFT total energy (eV/atom): -5.8733

***

# 5
Compound: Pm8SmSi6
Source: the Alexandria database
Functional: PBE-GGA
Structure: relaxed

Unit cell a=8.010 b=8.010 c=8.010 alpha=66.43 beta=66.43 gamma=66.43
Fractional coordinates of all 15 atoms:
Pm 0.062 0.396 0.729
Pm 0.167 0.167 0.167
Pm 0.271 0.938 0.604
Pm 0.396 0.729 0.062
Pm 0.604 0.271 0.938
Pm 0.729 0.062 0.396
Pm 0.833 0.833 0.833
Pm 0.938 0.604 0.271
Sm 0.500 0.500 0.500
Si 0.100 0.765 0.433
Si 0.235 0.567 0.900
Si 0.433 0.100 0.765
Si 0.567 0.900 0.235
Si 0.765 0.433 0.100
Si 0.900 0.235 0.567

Computed properties:
Size of the total moment (μB/cell): 0.0
Raw formation energy (eV/f.u.): -7.74
Density of states at the Fermi level (states/eV/atom): 0.472
DFT total energy (eV/atom): -5.5336

***

# 6
Compound: Pm5SmSi2
Source: the Alexandria database
Functional: PBE-GGA
Structure: relaxed

Unit cell a=7.550 b=7.550 c=7.550 alpha=145.19 beta=102.06 gamma=88.28
Fractional coordinates of all 8 atoms:
Pm 0.000 0.000 0.000
Pm 0.026 0.339 0.688
Pm 0.349 0.661 0.688
Pm 0.651 0.339 0.312
Pm 0.974 0.661 0.312
Sm 0.500 0.000 0.500
Si 0.291 0.291 0.000
Si 0.709 0.709 0.000

Computed properties:
Size of the total moment (μB/cell): 0.0
Raw formation energy (eV/f.u.): -1.98
Density of states at the Fermi level (states/eV/atom): 1.208
DFT total energy (eV/atom): -5.1618

***

# 7
Compound: Pm2SmSi
Source: the Alexandria database
Functional: PBE-GGA
Structure: relaxed

Unit cell a=6.302 b=6.302 c=6.302 alpha=45.64 beta=45.64 gamma=45.64
Fractional coordinates of all 4 atoms:
Pm 0.228 0.228 0.228
Pm 0.772 0.772 0.772
Sm 0.000 0.000 0.000
Si 0.500 0.500 0.500

Computed properties:
Size of the total moment (μB/cell): 0.0
Raw formation energy (eV/f.u.): -0.03
Density of states at the Fermi level (states/eV/atom): 1.157
Excess energy over the best structure of this formula in the dataset (eV/f.u.): 1.45
DFT total energy (eV/atom): -4.9175

***

# 8
Compound: Pm3Sm2Si2
Source: the Alexandria database
Functional: PBE-GGA
Structure: relaxed

Unit cell a=6.337 b=6.337 c=8.455 alpha=109.51 beta=109.51 gamma=39.12
Fractional coordinates of all 7 atoms:
Pm 0.000 0.000 0.000
Pm 0.131 0.131 0.441
Pm 0.869 0.869 0.559
Sm 0.348 0.348 0.192
Sm 0.652 0.652 0.808
Si 0.326 0.326 0.799
Si 0.674 0.674 0.201

Computed properties:
Size of the total moment (μB/cell): 0.0
Raw formation energy (eV/f.u.): -2.99
Density of states at the Fermi level (states/eV/atom): 0.947
DFT total energy (eV/atom): -5.3614

***

# 9
Compound: Pm2SmSi2
Source: the Alexandria database
Functional: PBE-GGA
Structure: relaxed

Unit cell a=7.695 b=7.695 c=4.326 alpha=90.00 beta=90.00 gamma=90.00
Fractional coordinates of all 10 atoms:
Pm 0.177 0.323 0.000
Pm 0.323 0.823 0.000
Pm 0.677 0.177 0.000
Pm 0.823 0.677 0.000
Sm 0.000 0.000 0.500
Sm 0.500 0.500 0.500
Si 0.113 0.613 0.500
Si 0.387 0.113 0.500
Si 0.613 0.887 0.500
Si 0.887 0.387 0.500

Computed properties:
Size of the total moment (μB/cell): 0.0
Raw formation energy (eV/f.u.): -3.29
Density of states at the Fermi level (states/eV/atom): 1.011
Excess energy over the best structure of this formula in the dataset (eV/f.u.): 0.00
DFT total energy (eV/atom): -5.6720

***

# 10
Compound: Pm2SmSi
Source: the Alexandria database
Functional: PBE-GGA
Structure: relaxed

Unit cell a=7.864 b=9.316 c=6.418 alpha=90.00 beta=90.00 gamma=90.00
Fractional coordinates of all 16 atoms:
Pm 0.185 0.056 0.134
Pm 0.185 0.444 0.134
Pm 0.315 0.556 0.634
Pm 0.315 0.944 0.634
Pm 0.685 0.056 0.366
Pm 0.685 0.444 0.366
Pm 0.815 0.556 0.866
Pm 0.815 0.944 0.866
Sm 0.032 0.250 0.632
Sm 0.468 0.750 0.132
Sm 0.532 0.250 0.868
Sm 0.968 0.750 0.368
Si 0.121 0.750 0.934
Si 0.379 0.250 0.434
Si 0.621 0.750 0.566
Si 0.879 0.250 0.066

Computed properties:
Size of the total moment (μB/cell): 0.0
Raw formation energy (eV/f.u.): -1.47
Density of states at the Fermi level (states/eV/atom): 1.253
Excess energy over the best structure of this formula in the dataset (eV/f.u.): 0.00
DFT total energy (eV/atom): -5.2789

***

# 11
Compound: PmSm3Si3
Source: the Alexandria database
Functional: PBE-GGA
Structure: relaxed

Unit cell a=7.591 b=7.591 c=7.441 alpha=94.94 beta=94.94 gamma=111.75
Fractional coordinates of all 14 atoms:
Pm 0.205 0.205 0.084
Pm 0.795 0.795 0.916
Sm 0.150 0.150 0.624
Sm 0.281 0.719 0.000
Sm 0.339 0.661 0.500
Sm 0.661 0.339 0.500
Sm 0.719 0.281 0.000
Sm 0.850 0.850 0.376
Si 0.024 0.701 0.678
Si 0.299 0.976 0.322
Si 0.460 0.460 0.828
Si 0.540 0.540 0.172
Si 0.701 0.024 0.678
Si 0.976 0.299 0.322

Computed properties:
Size of the total moment (μB/cell): 0.0
Raw formation energy (eV/f.u.): -2.54
Density of states at the Fermi level (states/eV/atom): 0.707
DFT total energy (eV/atom): -5.3879

***

# 12
Compound: Pm5SmSi3
Source: the Alexandria database
Functional: PBE-GGA
Structure: relaxed

Unit cell a=9.070 b=9.070 c=6.508 alpha=90.00 beta=90.00 gamma=120.00
Fractional coordinates of all 18 atoms:
Pm 0.000 0.333 0.250
Pm 0.000 0.667 0.750
Pm 0.333 0.000 0.250
Pm 0.333 0.333 0.750
Pm 0.333 0.667 0.000
Pm 0.333 0.667 0.500
Pm 0.667 0.000 0.750
Pm 0.667 0.333 0.000
Pm 0.667 0.333 0.500
Pm 0.667 0.667 0.250
Sm 0.000 0.000 0.000
Sm 0.000 0.000 0.500
Si 0.000 0.333 0.750
Si 0.000 0.667 0.250
Si 0.333 0.000 0.750
Si 0.333 0.333 0.250
Si 0.667 0.000 0.250
Si 0.667 0.667 0.750

Computed properties:
Size of the total moment (μB/cell): 4.6
Raw formation energy (eV/f.u.): -3.73
Density of states at the Fermi level (states/eV/atom): 1.019
DFT total energy (eV/atom): -5.3858

***

# 13
Compound: PmSm2Si2
Source: the Alexandria database
Functional: PBE-GGA
Structure: relaxed

Unit cell a=5.935 b=5.935 c=5.935 alpha=136.30 beta=114.32 gamma=82.25
Fractional coordinates of all 5 atoms:
Pm 0.000 0.000 0.000
Sm 0.298 0.798 0.500
Sm 0.702 0.202 0.500
Si 0.309 0.500 0.809
Si 0.691 0.500 0.191

Computed properties:
Size of the total moment (μB/cell): 0.0
Raw formation energy (eV/f.u.): -3.03
Density of states at the Fermi level (states/eV/atom): 0.866
Excess energy over the best structure of this formula in the dataset (eV/f.u.): 0.22
DFT total energy (eV/atom): -5.6128

***

# 14
Compound: Pm2Sm3Si4
Source: the Alexandria database
Functional: PBE-GGA
Structure: relaxed

Unit cell a=7.796 b=7.856 c=7.682 alpha=90.00 beta=105.45 gamma=90.00
Fractional coordinates of all 18 atoms:
Pm 0.205 0.184 0.096
Pm 0.205 0.316 0.596
Pm 0.795 0.684 0.404
Pm 0.795 0.816 0.904
Sm 0.241 0.683 0.255
Sm 0.241 0.817 0.755
Sm 0.500 0.000 0.500
Sm 0.500 0.500 0.000
Sm 0.759 0.183 0.245
Sm 0.759 0.317 0.745
Si 0.083 0.526 0.887
Si 0.083 0.974 0.387
Si 0.493 0.116 0.882
Si 0.493 0.384 0.382
Si 0.507 0.616 0.618
Si 0.507 0.884 0.118
Si 0.917 0.026 0.613
Si 0.917 0.474 0.113

Computed properties:
Size of the total moment (μB/cell): 0.0
Raw formation energy (eV/f.u.): -6.39
Density of states at the Fermi level (states/eV/atom): 1.045
DFT total energy (eV/atom): -5.7487

***

# 15
Compound: Pm2SmSi
Source: the Alexandria database
Functional: PBE-GGA
Structure: relaxed

Unit cell a=4.624 b=6.530 c=7.527 alpha=90.00 beta=90.00 gamma=90.00
Fractional coordinates of all 8 atoms:
Pm 0.250 0.017 0.153
Pm 0.250 0.483 0.153
Pm 0.750 0.517 0.847
Pm 0.750 0.983 0.847
Sm 0.250 0.250 0.584
Sm 0.750 0.750 0.416
Si 0.250 0.750 0.674
Si 0.750 0.250 0.326

Computed properties:
Size of the total moment (μB/cell): 0.0
Raw formation energy (eV/f.u.): -0.86
Density of states at the Fermi level (states/eV/atom): 0.966
Excess energy over the best structure of this formula in the dataset (eV/f.u.): 0.61
DFT total energy (eV/atom): -5.1266

***

# 16
Compound: Pm2Sm2Si3
Source: the Alexandria database
Functional: PBE-GGA
Structure: relaxed

Unit cell a=7.187 b=7.187 c=7.605 alpha=101.57 beta=101.57 gamma=33.88
Fractional coordinates of all 7 atoms:
Pm 0.136 0.136 0.357
Pm 0.864 0.864 0.643
Sm 0.371 0.371 0.106
Sm 0.629 0.629 0.894
Si 0.000 0.000 0.000
Si 0.236 0.236 0.739
Si 0.764 0.764 0.261

Computed properties:
Size of the total moment (μB/cell): 0.1
Raw formation energy (eV/f.u.): -3.04
Density of states at the Fermi level (states/eV/atom): 0.474
DFT total energy (eV/atom): -5.4645

***

# 17
Compound: Pm2SmSi4
Source: the Alexandria database
Functional: PBE-GGA
Structure: relaxed

Unit cell a=9.395 b=9.395 c=9.395 alpha=155.85 beta=153.05 gamma=36.50
Fractional coordinates of all 7 atoms:
Pm 0.182 0.182 0.000
Pm 0.818 0.818 0.000
Sm 0.000 0.500 0.500
Si 0.354 0.354 0.000
Si 0.434 0.934 0.500
Si 0.566 0.066 0.500
Si 0.646 0.646 0.000

Computed properties:
Size of the total moment (μB/cell): 0.0
Raw formation energy (eV/f.u.): -5.16
Density of states at the Fermi level (states/eV/atom): 0.636
DFT total energy (eV/atom): -5.8678

***

# 18
Compound: PmSmTlSi
Source: the Alexandria database
Functional: PBE-GGA
Structure: relaxed

Unit cell a=5.291 b=5.291 c=5.291 alpha=60.00 beta=60.00 gamma=60.00
Fractional coordinates of all 4 atoms:
Pm 0.000 0.000 0.000
Sm 0.500 0.500 0.500
Tl 0.750 0.750 0.750
Si 0.250 0.250 0.250

Computed properties:
Size of the total moment (μB/cell): 0.0
Raw formation energy (eV/f.u.): -1.38
Density of states at the Fermi level (states/eV/atom): 0.580
DFT total energy (eV/atom): -4.6605

***

# 19
Compound: PmSm2Zn2Si2
Source: the Alexandria database
Functional: PBE-GGA
Structure: relaxed

Unit cell a=11.698 b=11.698 c=11.698 alpha=20.25 beta=20.25 gamma=20.25
Fractional coordinates of all 7 atoms:
Pm 0.000 0.000 0.000
Sm 0.122 0.122 0.122
Sm 0.878 0.878 0.878
Zn 0.394 0.394 0.394
Zn 0.606 0.606 0.606
Si 0.271 0.271 0.271
Si 0.729 0.729 0.729

Computed properties:
Size of the total moment (μB/cell): 0.4
Raw formation energy (eV/f.u.): -3.32
Density of states at the Fermi level (states/eV/atom): 1.082
DFT total energy (eV/atom): -4.4146

***

# 20
Compound: PmSmZnSi
Source: the Alexandria database
Functional: PBE-GGA
Structure: relaxed

Unit cell a=4.121 b=5.946 c=5.946 alpha=42.37 beta=90.00 gamma=90.00
Fractional coordinates of all 4 atoms:
Pm 0.000 0.000 0.000
Sm 0.500 0.715 0.715
Zn 0.500 0.422 0.422
Si 0.000 0.285 0.285

Computed properties:
Size of the total moment (μB/cell): 0.3
Raw formation energy (eV/f.u.): -2.13
Density of states at the Fermi level (states/eV/atom): 1.054
Excess energy over the best structure of this formula in the dataset (eV/f.u.): 0.00
DFT total energy (eV/atom): -4.5733